Record 1
This record from Alexandria via LeMat-Bulk describes crystalline Ac2Sm3NpN6 at its relaxed geometry. The functional is PBE.

Structure (CIF):
```
data_Ac2Sm3NpN6
_space_group_name_H-M_alt 'C 1 2/m 1'
_space_group_IT_number 12
_space_group_name_Hall '-C 2y'
_cell_length_a 6.360
_cell_length_b 11.130
_cell_length_c 6.301
_cell_angle_alpha 90.00
_cell_angle_beta 109.76
_cell_angle_gamma 90.00
loop_
_atom_site_label
_atom_site_type_symbol
_atom_site_fract_x
_atom_site_fract_y
_atom_site_fract_z
Ac1 Ac 0.000 0.166 0.000
Sm1 Sm 0.000 0.000 0.500
Sm2 Sm 0.000 0.344 0.500
Np1 Np 0.000 0.500 0.000
N1 N 0.220 0.358 0.236
N2 N 0.224 0.500 0.743
```

As for the energy relative to the elements, uncorrected: -1.242 eV/atom. The calculated volume is 209.9 Å³/f.u. The calculation puts the density of states at the Fermi level at 0.6686 states/eV per atom.

=====

Record 2
This record from Alexandria via LeMat-Bulk describes crystalline AcPrIr2 at its relaxed geometry. The functional is PBE.

Structure (CIF):
```
data_AcPrIr2
_space_group_name_H-M_alt 'F m -3 m'
_space_group_IT_number 225
_space_group_name_Hall '-F 4 2 3'
_cell_length_a 7.294
_cell_length_b 7.294
_cell_length_c 7.294
_cell_angle_alpha 90.00
_cell_angle_beta 90.00
_cell_angle_gamma 90.00
loop_
_atom_site_label
_atom_site_type_symbol
_atom_site_fract_x
_atom_site_fract_y
_atom_site_fract_z
Ac1 Ac 0.000 0.000 0.000
Pr1 Pr 0.000 0.000 0.500
Ir1 Ir 0.250 0.250 0.250
```

The value obtained for the offset from the most stable computed form is 139.0 meV/atom. For the energy relative to the elements, the calculation gives -1.74 eV/f.u. The calculated volume is 97.0 Å³/f.u. The calculation puts the density of states at the Fermi level at 1.0592 states/eV per atom.

=====

Record 3
This record from Alexandria via LeMat-Bulk describes crystalline VCdAu at its relaxed geometry. The functional is PBE.

Structure (CIF):
```
data_VCdAu
_space_group_name_H-M_alt 'I 4 m m'
_space_group_IT_number 107
_space_group_name_Hall 'I 4 -2'
_cell_length_a 2.918
_cell_length_b 2.918
_cell_length_c 12.227
_cell_angle_alpha 90.00
_cell_angle_beta 90.00
_cell_angle_gamma 90.00
loop_
_atom_site_label
_atom_site_type_symbol
_atom_site_fract_x
_atom_site_fract_y
_atom_site_fract_z
V1 V 0.000 0.000 0.000
Cd1 Cd 0.000 0.000 0.669
Au1 Au 0.000 0.000 0.353
```

The value obtained for the offset from the most stable computed form is 133.3 meV/atom. For the energy relative to the elements, the calculation gives 0.33 eV/f.u. The calculated volume is 52.1 Å³/f.u. The calculation puts the density of states at the Fermi level at 0.8201 states/eV per atom.

=====

Record 4
This record from Alexandria via LeMat-Bulk describes crystalline MgSc2Fe at its relaxed geometry. The functional is PBE.

Structure (CIF):
```
data_MgSc2Fe
_space_group_name_H-M_alt 'I -4 m 2'
_space_group_IT_number 119
_space_group_name_Hall 'I -4 -2'
_cell_length_a 4.187
_cell_length_b 4.187
_cell_length_c 8.880
_cell_angle_alpha 90.00
_cell_angle_beta 90.00
_cell_angle_gamma 90.00
loop_
_atom_site_label
_atom_site_type_symbol
_atom_site_fract_x
_atom_site_fract_y
_atom_site_fract_z
Mg1 Mg 0.000 0.000 0.000
Sc1 Sc 0.000 0.000 0.500
Sc2 Sc 0.000 0.500 0.750
Fe1 Fe 0.000 0.500 0.250
```

For the energy relative to the elements, the calculation gives 0.57 eV/f.u. The calculated volume is 77.9 Å³/f.u. The calculation puts the density of states at the Fermi level at 0.8403 states/eV per atom.

=====

Record 5
This record from Alexandria via LeMat-Bulk describes crystalline LaCd3P at its relaxed geometry. The functional is PBE.

Structure (CIF):
```
data_LaCd3P
_space_group_name_H-M_alt 'P m -3 m'
_space_group_IT_number 221
_space_group_name_Hall '-P 4 2 3'
_cell_length_a 6.194
_cell_length_b 6.194
_cell_length_c 6.194
_cell_angle_alpha 90.00
_cell_angle_beta 90.00
_cell_angle_gamma 90.00
loop_
_atom_site_label
_atom_site_type_symbol
_atom_site_fract_x
_atom_site_fract_y
_atom_site_fract_z
La1 La 0.000 0.000 0.000
Cd1 Cd 0.000 0.000 0.500
P1 P 0.500 0.500 0.500
```

The value obtained for the offset from the most stable computed form is 1020.7 meV/atom. For the energy relative to the elements, the calculation gives 5.85 eV/f.u. The calculated volume is 237.7 Å³/f.u. The calculation puts the density of states at the Fermi level at 1.2842 states/eV per atom.

=====

Record 6
This record from Alexandria via LeMat-Bulk describes crystalline TaAl3Te at its relaxed geometry. The functional is PBE.

Structure (CIF):
```
data_TaAl3Te
_space_group_name_H-M_alt 'P m -3 m'
_space_group_IT_number 221
_space_group_name_Hall '-P 4 2 3'
_cell_length_a 5.087
_cell_length_b 5.087
_cell_length_c 5.087
_cell_angle_alpha 90.00
_cell_angle_beta 90.00
_cell_angle_gamma 90.00
loop_
_atom_site_label
_atom_site_type_symbol
_atom_site_fract_x
_atom_site_fract_y
_atom_site_fract_z
Ta1 Ta 0.000 0.000 0.000
Al1 Al 0.000 0.500 0.500
Te1 Te 0.500 0.500 0.500
```

The value obtained for the offset from the most stable computed form is 695.3 meV/atom. As for the energy relative to the elements, uncorrected: 1.615 eV/atom. The calculated volume is 131.7 Å³/f.u. The calculation puts the density of states at the Fermi level at 1.2353 states/eV per atom.